The following is a GGA-PBE calculation of a relaxed structure of Tb4SnAu, from Alexandria via LeMat-Bulk.

a b c (Å): 10.7666 10.7666 6.4092
angles (deg): 90.00 90.00 150.67
Atoms (fractional coordinates):
Tb  0.0561  0.9439  0.7500
Tb  0.2034  0.7966  0.5052
Tb  0.2034  0.7966  0.9948
Tb  0.3831  0.6169  0.7500
Tb  0.6169  0.3831  0.2500
Tb  0.7966  0.2034  0.0052
Tb  0.7966  0.2034  0.4948
Tb  0.9439  0.0561  0.2500
Sn  0.3455  0.6545  0.2500
Sn  0.6545  0.3455  0.7500
Au  0.0800  0.9200  0.2500
Au  0.9200  0.0800  0.7500

Calculated values
E, eV per atom: -4.721
Formation enthalpy at 0 K, eV/atom: -0.42
Spin magnetization, μB per cell: 0.00